TePb2W at its PBEsol-relaxed geometry, computed with SCAN.

Cell: 7.4425 7.4425 7.4425 Å, 154.85 144.35 44.13°
Element x y z (fractional)
Te 0.0000 0.0000 0.0000
Pb 0.3145 0.8145 0.5000
Pb 0.6855 0.1855 0.5000
W 0.5000 0.5000 0.0000

## Properties
Symmetry ... Immm, No. 71
Crystal system ... orthorhombic
Calculated volume ... 25.46 A^3/atom
Density of states at the Fermi level ... 0.69 states/eV/atom
Formation energy (no corrections) ... 0.70 eV per atom

=====

TePb2W at its PBEsol-relaxed geometry, computed with SCAN.

Cell: 3.4469 5.0910 5.4049 Å, 90.00 90.00 90.00°
Element x y z (fractional)
Te 0.0000 0.0000 0.0000
Pb 0.0000 0.5000 0.5000
Pb 0.5000 0.0000 0.5000
W 0.5000 0.5000 0.0000

## Properties
Symmetry ... Pmmm, No. 47
Crystal system ... orthorhombic
Calculated volume ... 23.71 A^3/atom
Density of states at the Fermi level ... 0.75 states/eV/atom
Formation energy (no corrections) ... 1.06 eV per atom